Entry 1:
Computed, not measured: CaCoAs2Br after structural relaxation at the PBE level of DFT.

Unit cell a=5.501 b=5.501 c=5.394 alpha=90.00 beta=90.00 gamma=90.00
Sites, in units of the cell vectors:
1 As 0.000 0.500 0.000
2 As 0.500 0.000 0.000
3 Co 0.500 0.500 0.500
4 Ca 0.000 0.000 0.000
5 Br 0.000 0.000 0.500

Output
Calculated density in g/cm3: 3.3
Electronic total energy in eV per atom: -3.105
SG: P4/mmm (123)
Distance to the lowest polymorph of the same formula in eV/f.u.: 6.19
Formation energy (no corrections) in meV/atom: 910


Entry 2:
Computed, not measured: DyHo6Mg2 after structural relaxation at the PBE level of DFT.

Unit cell a=6.601 b=6.601 c=8.153 alpha=66.12 beta=66.12 gamma=60.00
Sites, in units of the cell vectors:
1 Dy 0.383 0.383 0.850
2 Ho 0.899 0.436 0.684
3 Ho 0.981 0.899 0.684
4 Ho 0.436 0.981 0.684
5 Ho 0.145 0.599 0.212
6 Ho 0.044 0.145 0.212
7 Ho 0.599 0.044 0.212
8 Mg 0.655 0.655 0.034
9 Mg 0.523 0.523 0.432

Output
Calculated density in g/cm3: 7.3
Electronic total energy in eV per atom: -3.721
SG: R3 (146)
Formation energy from the elements in eV per atom: 0.20


Entry 3:
Computed, not measured: Rb12Na6Tl after structural relaxation at the PBE level of DFT.

Unit cell a=11.189 b=11.189 c=11.189 alpha=76.73 beta=76.73 gamma=76.73
Sites, in units of the cell vectors:
1 Rb 0.540 0.191 0.540
2 Rb 0.191 0.540 0.540
3 Rb 0.540 0.540 0.191
4 Rb 0.460 0.809 0.460
5 Rb 0.809 0.460 0.460
6 Rb 0.460 0.460 0.809
7 Rb 0.535 0.130 0.130
8 Rb 0.870 0.465 0.870
9 Rb 0.870 0.870 0.465
10 Rb 0.465 0.870 0.870
11 Rb 0.130 0.535 0.130
12 Rb 0.130 0.130 0.535
13 Na 0.195 0.915 0.195
14 Na 0.085 0.805 0.805
15 Na 0.805 0.805 0.085
16 Na 0.805 0.085 0.805
17 Na 0.915 0.195 0.195
18 Na 0.195 0.195 0.915
19 Tl 0.000 0.000 0.000

Output
Calculated density in g/cm3: 1.7
Electronic total energy in eV per atom: -1.117
SG: R-3m (166)
Formation energy from the elements in eV per atom: 0.04


Entry 4:
Computed, not measured: LaW2N after structural relaxation at the PBE level of DFT.

Unit cell a=6.276 b=6.276 c=6.222 alpha=59.71 beta=59.71 gamma=90.00
Sites, in units of the cell vectors:
1 N 0.500 0.500 0.000
2 N 0.250 0.750 0.500
3 W 0.339 0.125 0.250
4 W 0.411 0.625 0.250
5 W 0.375 0.661 0.750
6 W 0.875 0.589 0.750
7 La 0.000 0.000 0.000
8 La 0.750 0.250 0.500

Output
Calculated density in g/cm3: 10.1
Electronic total energy in eV per atom: -9.381
SG: I-42d (122)
Formation energy (no corrections) in meV/atom: 408